No. 1
# RbIn2BiBr6 | Alexandria via LeMat-Bulk | GGA-PBE | relaxed
data_RbIn2BiBr6
_chemical_formula_sum 'Rb1 In2 Bi1 Br6'
_cell_length_a 8.250
_cell_length_b 8.261
_cell_length_c 8.601
_cell_angle_alpha 90.03
_cell_angle_beta 118.65
_cell_angle_gamma 119.95
_space_group_name_H-M_alt 'P 1'
_space_group_IT_number 1
loop_
_space_group_symop_operation_xyz
'x,y,z'
loop_
_atom_site_label
_atom_site_fract_x
_atom_site_fract_y
_atom_site_fract_z
_atom_site_occupancy
Rb1 0.000 0.000 0.000 1
In1 0.401 0.200 0.601 1
In2 0.421 0.711 0.132 1
Bi1 0.024 0.512 0.536 1
Br1 0.160 0.748 0.320 1
Br2 0.206 0.876 0.796 1
Br3 0.466 0.590 0.796 1
Br4 0.571 0.411 0.320 1
Br5 0.909 0.160 0.320 1
Br6 0.921 0.330 0.797 1
# * formation energy from raw total energies: -883 kJ/mol of formula units
# * magnetization: 0.0 μB per cell

No. 2
# La5Pm3N8 | Alexandria via LeMat-Bulk | GGA-PBE | relaxed
data_La5Pm3N8
_chemical_formula_sum 'La15 Pm9 N24'
_cell_length_a 7.3996
_cell_length_b 7.3996
_cell_length_c 18.1483
_cell_angle_alpha 90.00
_cell_angle_beta 90.00
_cell_angle_gamma 120.00
_space_group_name_H-M_alt 'R -3 m'
_space_group_IT_number 166
_space_group_name_Hall '-R 3 2"'
loop_
_atom_site_label
_atom_site_fract_x
_atom_site_fract_y
_atom_site_fract_z
_atom_site_occupancy
La1 0.0000 0.0000 0.0000 1
La2 0.0000 0.0000 0.5000 1
La3 0.0000 0.5000 0.0000 1
Pm1 0.0000 0.5000 0.5000 1
N1 0.0000 0.0000 0.2481 1
N2 0.0031 0.5015 0.7515 1
# * formation energy from raw total energies: -2088 kJ/mol of formula units
# * magnetization: 0.0 μB per cell

Q: formation energy from raw total energies of number 2 (La5Pm3N8)?
A: -2088 kJ/mol of formula units